Entry 1:
Computed, not measured: a relaxed BaHBr2 crystal at the GGA-PBE level of DFT.

Calculated values
* electronic total energy: -3.04 eV/atom

```
4
Lattice="2.2919 1.3232 7.7260 -2.2919 1.3232 7.7260 0.0000 -2.6465 7.7260" Properties=species:S:1:pos:R:3 pbc="T T T"
Ba 0.0000 0.0000 0.0000
H 0.0000 0.0000 11.5890
Br 0.0000 0.0000 9.7719
Br 0.0000 0.0000 13.4061
```

=====

Entry 2:
Computed, not measured: a relaxed Ba2H2Br crystal at the GGA-PBE level of DFT.

Calculated values
* electronic total energy: -3.37 eV/atom
* E above lowest polymorph: 92 meV/atom

```
5
Lattice="-2.1159 2.1159 7.3500 2.1159 -2.1159 7.3500 2.1159 2.1159 -7.3500" Properties=species:S:1:pos:R:3 pbc="T T T"
Ba 0.0000 0.0000 2.1937
Ba 0.0000 0.0000 12.5064
H 2.1159 0.0000 3.6750
H 0.0000 2.1159 3.6750
Br 0.0000 0.0000 7.3500
```

=====

Entry 3:
Computed, not measured: a relaxed Ba2HBr crystal at the GGA-PBE level of DFT.

Calculated values
* electronic total energy: -3.14 eV/atom
* E above lowest polymorph: 0 meV/atom

```
16
Lattice="7.0308 0.0000 0.0000 0.0000 7.0769 0.0000 -6.9900 0.0000 11.3214" Properties=species:S:1:pos:R:3 pbc="T T T"
Ba 0.0570 1.6678 0.9274
Ba -3.4380 5.4090 6.5881
Ba -3.5533 1.6438 9.3964
Ba -0.0584 5.4331 3.7357
Ba 0.0991 1.6438 7.5858
Ba 3.5941 5.4331 1.9250
Ba 3.4788 1.6678 4.7333
Ba -0.0162 5.4090 10.3940
H -5.9713 0.7108 9.9111
H -2.4763 6.3660 4.2503
H 2.5171 0.7108 7.0711
H 6.0121 6.3660 1.4104
Br -0.0153 1.9167 4.2630
Br -3.5103 5.1602 9.9237
Br 3.5511 1.9167 1.3977
Br 0.0561 5.1602 7.0584
```

=====

Entry 4:
Computed, not measured: a relaxed Ba2HBr crystal at the GGA-PBE level of DFT.

Calculated values
* electronic total energy: -3.12 eV/atom
* E above lowest polymorph: 18 meV/atom

```
4
Lattice="2.1411 1.2362 8.0685 -2.1411 1.2362 8.0685 0.0000 -2.4724 8.0685" Properties=species:S:1:pos:R:3 pbc="T T T"
Ba 0.0000 0.0000 5.6656
Ba 0.0000 0.0000 18.5400
H 0.0000 0.0000 12.1028
Br 0.0000 0.0000 0.0000
```

=====

Entry 5:
Computed, not measured: a relaxed Ba2HBr crystal at the GGA-PBE level of DFT.

Calculated values
* electronic total energy: -3.12 eV/atom
* E above lowest polymorph: 14 meV/atom

```
4
Lattice="2.1728 1.2544 8.0214 -2.1728 1.2544 8.0214 0.0000 -2.5089 8.0214" Properties=species:S:1:pos:R:3 pbc="T T T"
Ba 0.0000 0.0000 0.0000
Ba 0.0000 0.0000 4.8167
H 0.0000 0.0000 14.5034
Br 0.0000 0.0000 10.4363
```

=====

Entry 6:
Computed, not measured: a relaxed BaHBr2 crystal at the GGA-PBE level of DFT.

Calculated values
* electronic total energy: -3.26 eV/atom

```
4
Lattice="2.7528 1.5893 4.5035 -2.7528 1.5893 4.5035 0.0000 -3.1787 4.5035" Properties=species:S:1:pos:R:3 pbc="T T T"
Ba 0.0000 0.0000 0.0000
H 0.0000 0.0000 6.7553
Br 0.0000 0.0000 3.3758
Br 0.0000 0.0000 10.1348
```

=====

- Which formula does entry 3 have?
  Ba2HBr

=====

- Among the records above, which one has the highest electronic total energy?
  number 1

=====

- Which value of electronic total energy does entry 1 give?
  -3.04 eV/atom

=====

- Number 2 is which compound?
  Ba2H2Br